(1)
# TaBeCd2 | Alexandria via LeMat-Bulk | GGA-PBE | relaxed
data_TaBeCd2
_chemical_formula_sum 'Ta1 Be1 Cd2'
_symmetry_space_group_name_H-M 'P 1'
_symmetry_Int_Tables_number 1
_cell_length_a 5.7210
_cell_length_b 5.7210
_cell_length_c 4.8196
_cell_angle_alpha 65.11
_cell_angle_beta 65.11
_cell_angle_gamma 28.42
loop_
_symmetry_equiv_pos_as_xyz
'x,y,z'
loop_
_atom_site_label
_atom_site_type_symbol
_atom_site_fract_x
_atom_site_fract_y
_atom_site_fract_z
Ta1 Ta 0.7500 0.7500 0.7500
Cd1 Cd 0.9639 0.9639 0.0361
Cd2 Cd 0.5361 0.5361 0.4639
Be1 Be 0.2500 0.2500 0.2500
# ρ, g/cm3: 10.2
# Total DFT energy (no corrections), eV per atom: -3.9365

***

(2)
# BeAl2Tl | Alexandria via LeMat-Bulk | GGA-PBE | relaxed
data_BeAl2Tl
_chemical_formula_sum 'Be1 Al2 Tl1'
_symmetry_space_group_name_H-M 'P 1'
_symmetry_Int_Tables_number 1
_cell_length_a 2.8401
_cell_length_b 3.7480
_cell_length_c 7.2784
_cell_angle_alpha 90.00
_cell_angle_beta 90.00
_cell_angle_gamma 90.00
loop_
_symmetry_equiv_pos_as_xyz
'x,y,z'
loop_
_atom_site_label
_atom_site_type_symbol
_atom_site_fract_x
_atom_site_fract_y
_atom_site_fract_z
Be1 Be 0.0000 0.0000 0.4162
Tl1 Tl 0.5000 0.5000 0.7231
Al1 Al 0.5000 0.5000 0.2903
Al2 Al 0.0000 0.0000 0.0704
# ρ, g/cm3: 5.7
# Total DFT energy (no corrections), eV per atom: -3.0258
# Polymorph energy (0 for the lowest one), eV per formula unit: 0.15

***

(3)
# Ce4DyTh3Se8 | Alexandria via LeMat-Bulk | GGA-PBE | relaxed
data_Ce4DyTh3Se8
_chemical_formula_sum 'Ce4 Dy1 Th3 Se8'
_symmetry_space_group_name_H-M 'P 1'
_symmetry_Int_Tables_number 1
_cell_length_a 8.3696
_cell_length_b 8.3732
_cell_length_c 8.3690
_cell_angle_alpha 119.98
_cell_angle_beta 120.00
_cell_angle_gamma 90.00
loop_
_symmetry_equiv_pos_as_xyz
'x,y,z'
loop_
_atom_site_label
_atom_site_type_symbol
_atom_site_fract_x
_atom_site_fract_y
_atom_site_fract_z
Se1 Se 0.2456 0.7474 0.4913
Se2 Se 0.7562 0.7474 0.0018
Se3 Se 0.7544 0.2526 0.5087
Se4 Se 0.7544 0.2526 0.9982
Se5 Se 0.2456 0.7474 0.0018
Se6 Se 0.7510 0.7530 0.5020
Se7 Se 0.2490 0.2470 0.4980
Se8 Se 0.2438 0.2526 0.9982
Ce1 Ce 0.5000 0.0000 0.0000
Ce2 Ce 0.5000 0.0000 0.5000
Ce3 Ce 0.0000 0.0000 0.5000
Ce4 Ce 0.0000 0.0000 0.0000
Dy1 Dy 0.0000 0.5000 0.0000
Th1 Th 0.5000 0.5000 0.0000
Th2 Th 0.0000 0.5000 0.5000
Th3 Th 0.5000 0.5000 0.5000
# ρ, g/cm3: 8.2
# Uncorrected formation energy, meV/atom: -1711
# Total DFT energy (no corrections), eV per atom: -6.6160

***

(4)
# Ta3Co | Alexandria via LeMat-Bulk | GGA-PBE | relaxed
data_Ta3Co
_chemical_formula_sum 'Ta3 Co1'
_symmetry_space_group_name_H-M 'P 1'
_symmetry_Int_Tables_number 1
_cell_length_a 2.8560
_cell_length_b 2.8560
_cell_length_c 8.1777
_cell_angle_alpha 90.00
_cell_angle_beta 90.00
_cell_angle_gamma 101.27
loop_
_symmetry_equiv_pos_as_xyz
'x,y,z'
loop_
_atom_site_label
_atom_site_type_symbol
_atom_site_fract_x
_atom_site_fract_y
_atom_site_fract_z
Ta1 Ta 0.5000 0.5000 0.7817
Ta2 Ta 0.5000 0.5000 0.2183
Ta3 Ta 0.0000 0.0000 0.5000
Co1 Co 0.0000 0.0000 0.0000
# ρ, g/cm3: 15.3
# Total DFT energy (no corrections), eV per atom: -10.6990

***

(5)
# CePuSb | Alexandria via LeMat-Bulk | GGA-PBE | relaxed
data_CePuSb
_chemical_formula_sum 'Ce1 Pu1 Sb1'
_symmetry_space_group_name_H-M 'P 1'
_symmetry_Int_Tables_number 1
_cell_length_a 3.6629
_cell_length_b 4.9709
_cell_length_c 4.9709
_cell_angle_alpha 120.00
_cell_angle_beta 90.00
_cell_angle_gamma 90.00
loop_
_symmetry_equiv_pos_as_xyz
'x,y,z'
loop_
_atom_site_label
_atom_site_type_symbol
_atom_site_fract_x
_atom_site_fract_y
_atom_site_fract_z
Ce1 Ce 0.8334 0.6667 0.3333
Sb1 Sb 0.3335 0.3333 0.6667
Pu1 Pu 0.8332 0.0000 0.0000
# ρ, g/cm3: 10.7
# Uncorrected formation energy, meV/atom: -367
# Total DFT energy (no corrections), eV per atom: -8.4968
# Polymorph energy (0 for the lowest one), eV per formula unit: 0.79

***

(6)
# Li2PmMgF8 | Alexandria via LeMat-Bulk | GGA-PBE | relaxed
data_Li2PmMgF8
_chemical_formula_sum 'Li2 Pm1 Mg1 F8'
_symmetry_space_group_name_H-M 'P 1'
_symmetry_Int_Tables_number 1
_cell_length_a 4.4551
_cell_length_b 4.9687
_cell_length_c 6.8815
_cell_angle_alpha 89.96
_cell_angle_beta 89.98
_cell_angle_gamma 81.19
loop_
_symmetry_equiv_pos_as_xyz
'x,y,z'
loop_
_atom_site_label
_atom_site_type_symbol
_atom_site_fract_x
_atom_site_fract_y
_atom_site_fract_z
Li1 Li 0.5002 0.5003 0.2729
Li2 Li 0.4998 0.4997 0.7271
F1 F 0.1422 0.7498 0.2246
F2 F 0.8578 0.2503 0.2244
F3 F 0.3918 0.2654 0.5000
F4 F 0.1422 0.7497 0.7756
F5 F 0.6289 0.8161 0.0001
F6 F 0.8578 0.2502 0.7754
F7 F 0.6082 0.7346 0.5000
F8 F 0.3711 0.1839 0.9999
Pm1 Pm 0.0000 0.0000 0.5000
Mg1 Mg 0.0000 0.0000 0.0000
# ρ, g/cm3: 3.7
# Uncorrected formation energy, meV/atom: -3149
# Total DFT energy (no corrections), eV per atom: -5.2441

***

(7)
# CsCd2GeSe4 | Alexandria via LeMat-Bulk | GGA-PBE | relaxed
data_CsCd2GeSe4
_chemical_formula_sum 'Cs1 Cd2 Ge1 Se4'
_symmetry_space_group_name_H-M 'P 1'
_symmetry_Int_Tables_number 1
_cell_length_a 7.3492
_cell_length_b 7.3492
_cell_length_c 7.0256
_cell_angle_alpha 121.49
_cell_angle_beta 121.49
_cell_angle_gamma 90.08
loop_
_symmetry_equiv_pos_as_xyz
'x,y,z'
loop_
_atom_site_label
_atom_site_type_symbol
_atom_site_fract_x
_atom_site_fract_y
_atom_site_fract_z
Se1 Se 0.5372 0.5372 0.6961
Se2 Se 0.4628 0.8405 0.3033
Se3 Se 0.8405 0.4628 0.3033
Se4 Se 0.1589 0.1589 0.6961
Cd1 Cd 0.7504 0.2504 0.5008
Cd2 Cd 0.2504 0.7504 0.5008
Ge1 Ge 0.4999 0.4999 0.9998
Cs1 Cs 0.0002 0.0002 0.0004
# ρ, g/cm3: 4.8
# Uncorrected formation energy, meV/atom: -528
# Total DFT energy (no corrections), eV per atom: -3.1832

***

(8)
# RbTaIn2Ni | Alexandria via LeMat-Bulk | GGA-PBE | relaxed
data_RbTaIn2Ni
_chemical_formula_sum 'Rb1 Ta1 In2 Ni1'
_symmetry_space_group_name_H-M 'P 1'
_symmetry_Int_Tables_number 1
_cell_length_a 5.4011
_cell_length_b 6.0185
_cell_length_c 5.4011
_cell_angle_alpha 90.00
_cell_angle_beta 90.00
_cell_angle_gamma 90.00
loop_
_symmetry_equiv_pos_as_xyz
'x,y,z'
loop_
_atom_site_label
_atom_site_type_symbol
_atom_site_fract_x
_atom_site_fract_y
_atom_site_fract_z
In1 In 0.0000 0.0000 0.5000
In2 In 0.5000 0.0000 0.0000
Rb1 Rb 0.0000 0.5000 0.0000
Ni1 Ni 0.5000 0.5000 0.5000
Ta1 Ta 0.0000 0.0000 0.0000
# ρ, g/cm3: 5.2
# Total DFT energy (no corrections), eV per atom: -3.2516